The following is a meta-GGA SCAN calculation of K3SbF6 at its PBEsol-relaxed geometry, from Alexandria via LeMat-Bulk.

abc: 6.567 6.567 6.567
angles: 60.00 60.00 60.00
Atoms (fractional coordinates):
F 0.734 0.266 0.266
F 0.266 0.266 0.734
K 0.750 0.750 0.750
K 0.000 0.000 0.000
F 0.266 0.734 0.734
F 0.734 0.734 0.266
F 0.734 0.266 0.734
Sb 0.500 0.500 0.500
F 0.266 0.734 0.266
K 0.250 0.250 0.250

Values from the calculation:
DOS(E_F), states/eV/atom: 0.000
Calculated density, g/cm3: 2.93
E_form (uncorrected), eV/atom: -2.656
SG: Fm-3m, No. 225